# 1
# PuU2FeN4 PBE relaxed
# Total magnetic moment   5.91 μB/f.u.
# Density of states at the Fermi level   51.61 states/eV per cell
# Energy relative to the elements, uncorrected   -25.60 kcal/mol of atoms
data_PuU2FeN4
_symmetry_space_group_name_H-M 'C m c m'
_symmetry_Int_Tables_number 63
_symmetry_space_group_name_Hall '-C 2c 2'
_cell_length_a 3.420
_cell_length_b 11.265
_cell_length_c 11.226
_cell_angle_alpha 90.00
_cell_angle_beta 90.00
_cell_angle_gamma 90.00
loop_
_atom_site_label
_atom_site_fract_x
_atom_site_fract_y
_atom_site_fract_z
Pu1 0.000 0.107 0.250
U1 0.000 0.370 0.060
Fe1 0.000 0.159 0.750
N1 0.000 0.000 0.000
N2 0.000 0.270 0.615
N3 0.000 0.449 0.250

---

# 2
# Pu2VFeN5 PBE relaxed
# Total magnetic moment   0.00 μB/f.u.
# Density of states at the Fermi level   48.60 states/eV per cell
# Energy relative to the elements, uncorrected   -19.18 kcal/mol of atoms
data_Pu2VFeN5
_symmetry_space_group_name_H-M 'C m c 21'
_symmetry_Int_Tables_number 36
_cell_length_a 3.252
_cell_length_b 12.881
_cell_length_c 9.601
_cell_angle_alpha 90.00
_cell_angle_beta 90.00
_cell_angle_gamma 90.00
loop_
_symmetry_equiv_pos_as_xyz
'x,y,z'
'-x,-y,z+1/2'
'-x,y,z'
'x,-y,z+1/2'
'x+1/2,y+1/2,z'
'-x+1/2,-y+1/2,z+1/2'
'-x+1/2,y+1/2,z'
'x+1/2,-y+1/2,z+1/2'
loop_
_atom_site_label
_atom_site_fract_x
_atom_site_fract_y
_atom_site_fract_z
Pu1 0.000 0.117 0.000
Pu2 0.000 0.139 0.631
V1 0.000 0.441 0.784
Fe1 0.000 0.212 0.347
N1 0.000 0.055 0.378
N2 0.000 0.288 0.980
N3 0.000 0.307 0.708
N4 0.000 0.364 0.329
N5 0.000 0.499 0.611

---

# 3
# YPu2FeN4 PBE relaxed
# Total magnetic moment   4.99 μB/f.u.
# Density of states at the Fermi level   38.36 states/eV per cell
# Energy relative to the elements, uncorrected   -24.27 kcal/mol of atoms
data_YPu2FeN4
_symmetry_space_group_name_H-M 'C m c m'
_symmetry_Int_Tables_number 63
_symmetry_space_group_name_Hall '-C 2c 2'
_cell_length_a 3.385
_cell_length_b 11.261
_cell_length_c 11.388
_cell_angle_alpha 90.00
_cell_angle_beta 90.00
_cell_angle_gamma 90.00
loop_
_atom_site_label
_atom_site_fract_x
_atom_site_fract_y
_atom_site_fract_z
Y1 0.000 0.105 0.250
Pu1 0.000 0.369 0.056
Fe1 0.000 0.159 0.750
N1 0.000 0.000 0.000
N2 0.000 0.269 0.617
N3 0.000 0.452 0.250

---

# 4
# RbFeN PBE relaxed
# Total magnetic moment   0.36 μB/f.u.
# Density of states at the Fermi level   12.47 states/eV per cell
# Energy relative to the elements, uncorrected   0.00 kcal/mol of atoms
data_RbFeN
_symmetry_space_group_name_H-M 'P n m a'
_symmetry_Int_Tables_number 62
_cell_length_a 10.760
_cell_length_b 3.539
_cell_length_c 6.647
_cell_angle_alpha 90.00
_cell_angle_beta 90.00
_cell_angle_gamma 90.00
loop_
_symmetry_equiv_pos_as_xyz
'x,y,z'
'-x,-y,-z'
'-x+1/2,-y,z+1/2'
'x+1/2,y,-z+1/2'
'x+1/2,-y+1/2,-z+1/2'
'-x+1/2,y+1/2,z+1/2'
'-x,y+1/2,-z'
'x,-y+1/2,z'
loop_
_atom_site_label
_atom_site_fract_x
_atom_site_fract_y
_atom_site_fract_z
Rb1 0.167 0.250 0.074
Fe1 0.038 0.250 0.596
N1 0.055 0.750 0.641

---

# 5
# RbFeN PBE relaxed
# Total magnetic moment   2.47 μB/f.u.
# Density of states at the Fermi level   2.53 states/eV per cell
# Energy relative to the elements, uncorrected   13.70 kcal/mol of atoms
data_RbFeN
_symmetry_space_group_name_H-M 'I 4 m m'
_symmetry_Int_Tables_number 107
_symmetry_space_group_name_Hall 'I 4 -2'
_cell_length_a 2.871
_cell_length_b 2.871
_cell_length_c 11.661
_cell_angle_alpha 90.00
_cell_angle_beta 90.00
_cell_angle_gamma 90.00
loop_
_atom_site_label
_atom_site_fract_x
_atom_site_fract_y
_atom_site_fract_z
Rb1 0.000 0.000 0.000
Fe1 0.000 0.000 0.261
N1 0.000 0.000 0.741

---

# 6
# RbFeN PBE relaxed
# Total magnetic moment   0.32 μB/f.u.
# Density of states at the Fermi level   6.27 states/eV per cell
# Energy relative to the elements, uncorrected   -0.42 kcal/mol of atoms
data_RbFeN
_symmetry_space_group_name_H-M 'P -1'
_symmetry_Int_Tables_number 2
_cell_length_a 3.542
_cell_length_b 5.967
_cell_length_c 6.694
_cell_angle_alpha 68.05
_cell_angle_beta 74.69
_cell_angle_gamma 89.98
loop_
_symmetry_equiv_pos_as_xyz
'x,y,z'
'-x,-y,-z'
loop_
_atom_site_label
_atom_site_fract_x
_atom_site_fract_y
_atom_site_fract_z
Rb1 0.096 0.328 0.310
Fe1 0.312 0.086 0.876
N1 0.161 0.877 0.177

---

# 7
# RbFeN PBE relaxed
# Total magnetic moment   0.68 μB/f.u.
# Density of states at the Fermi level   9.83 states/eV per cell
# Energy relative to the elements, uncorrected   -0.06 kcal/mol of atoms
data_RbFeN
_symmetry_space_group_name_H-M 'P 1 21/c 1'
_symmetry_Int_Tables_number 14
_cell_length_a 10.877
_cell_length_b 4.553
_cell_length_c 5.722
_cell_angle_alpha 90.00
_cell_angle_beta 102.52
_cell_angle_gamma 90.00
loop_
_symmetry_equiv_pos_as_xyz
'x,y,z'
'-x,-y,-z'
'-x,y+1/2,-z+1/2'
'x,-y+1/2,z+1/2'
loop_
_atom_site_label
_atom_site_fract_x
_atom_site_fract_y
_atom_site_fract_z
Rb1 0.223 0.043 0.400
Fe1 0.478 0.683 0.348
N1 0.399 0.599 0.589

---

# 8
# RbFeN PBE relaxed
# Total magnetic moment   0.00 μB/f.u.
# Density of states at the Fermi level   3.89 states/eV per cell
# Energy relative to the elements, uncorrected   -0.67 kcal/mol of atoms
data_RbFeN
_symmetry_space_group_name_H-M 'P 4/n m m'
_symmetry_Int_Tables_number 129
_cell_length_a 3.436
_cell_length_b 3.436
_cell_length_c 10.402
_cell_angle_alpha 90.00
_cell_angle_beta 90.00
_cell_angle_gamma 90.00
loop_
_symmetry_equiv_pos_as_xyz
'x,y,z'
'-x,-y,-z'
'-y+1/2,x,z'
'y+1/2,-x,-z'
'-x+1/2,-y+1/2,z'
'x+1/2,y+1/2,-z'
'y,-x+1/2,z'
'-y,x+1/2,-z'
'x+1/2,-y,-z'
'-x+1/2,y,z'
'-y,-x,-z'
'y,x,z'
'-x,y+1/2,-z'
'x,-y+1/2,z'
'y+1/2,x+1/2,-z'
'-y+1/2,-x+1/2,z'
loop_
_atom_site_label
_atom_site_fract_x
_atom_site_fract_y
_atom_site_fract_z
Rb1 0.250 0.250 0.224
Fe1 0.250 0.750 0.500
N1 0.250 0.250 0.585

---

Question: The highest total magnetic moment belongs to which entry?
Answer: PuU2FeN4

---

Question: energy relative to the elements, uncorrected of number 6 (RbFeN)?
Answer: -0.42 kcal/mol of atoms

---

Question: Which of these has the highest density of states at the Fermi level?
Answer: PuU2FeN4

---

Please write out number 4 again, unchanged.
# RbFeN PBE relaxed
# Total magnetic moment   0.36 μB/f.u.
# Density of states at the Fermi level   12.47 states/eV per cell
# Energy relative to the elements, uncorrected   0.00 kcal/mol of atoms
data_RbFeN
_symmetry_space_group_name_H-M 'P n m a'
_symmetry_Int_Tables_number 62
_cell_length_a 10.760
_cell_length_b 3.539
_cell_length_c 6.647
_cell_angle_alpha 90.00
_cell_angle_beta 90.00
_cell_angle_gamma 90.00
loop_
_symmetry_equiv_pos_as_xyz
'x,y,z'
'-x,-y,-z'
'-x+1/2,-y,z+1/2'
'x+1/2,y,-z+1/2'
'x+1/2,-y+1/2,-z+1/2'
'-x+1/2,y+1/2,z+1/2'
'-x,y+1/2,-z'
'x,-y+1/2,z'
loop_
_atom_site_label
_atom_site_fract_x
_atom_site_fract_y
_atom_site_fract_z
Rb1 0.167 0.250 0.074
Fe1 0.038 0.250 0.596
N1 0.055 0.750 0.641